A relaxed PrCoF6 crystal. Source: the Alexandria database, functional GGA+U.

crystal system	trigonal
space group	P312, No. 149
DFT total energy	-0.4062	Ry/atom

a b c (Å): 5.069 5.361 5.361
angles (deg): 120.00 90.00 90.00
Last column: magnetic moment on the atom in μB.
Sites, in units of the cell vectors:
1 F 0.774 0.679 0.049  0.11
2 F 0.774 0.951 0.631  0.11
3 F 0.774 0.369 0.321  0.11
4 F 0.226 0.369 0.049  0.11
5 F 0.226 0.679 0.631  0.11
6 F 0.226 0.951 0.321  0.11
7 Pr 0.500 0.000 0.000  0.02
8 Co 0.000 0.667 0.333  3.24